# 1
VASP calculation (PBE-GGA) on crystalline CeNbN4 at its relaxed geometry.

abc: 5.318 5.318 6.738
angles: 113.24 113.24 90.00
Sites, in units of the cell vectors:
Nb1 0.250 0.750 0.500
Nb2 0.500 0.500 0.000
N1 0.114 0.656 0.703
N2 0.953 0.886 0.297
N3 0.797 0.364 0.203
N4 0.636 0.594 0.797
Ce1 0.750 0.250 0.500
Ce2 0.000 0.000 0.000
N5 0.406 0.839 0.203
N6 0.344 0.411 0.297
N7 0.161 0.203 0.797
N8 0.589 0.047 0.703

Values from the calculation:
Calculated volume: 13.2 A^3/atom
Raw formation energy: -120 kJ/mol of formula units

# 2
VASP calculation (PBE-GGA) on crystalline Ce2NbN3 at its relaxed geometry.

abc: 5.423 6.119 12.527
angles: 87.45 84.24 63.70
Site moments in Bohr magnetons follow the coordinates.
Sites, in units of the cell vectors:
N1 0.139 0.203 0.965  -0.01
N2 0.511 0.365 0.112  -0.01
N3 0.359 0.283 0.750  -0.01
Ce1 0.583 0.403 0.363  0.18
N4 0.124 0.365 0.388  -0.01
Ce2 0.335 0.784 0.071  0.23
Ce3 0.118 0.216 0.571  0.23
N5 0.641 0.717 0.250  -0.01
N6 0.020 0.959 0.750  0.00
N7 0.980 0.041 0.250  0.00
Nb1 0.302 0.987 0.829  0.03
N8 0.342 0.797 0.465  -0.01
Ce4 0.417 0.597 0.637  0.18
Nb2 0.711 0.987 0.671  0.03
Ce5 0.986 0.597 0.863  0.18
N9 0.489 0.635 0.888  -0.01
N10 0.861 0.797 0.035  -0.01
Nb3 0.289 0.013 0.329  0.03
N11 0.658 0.203 0.535  -0.01
N12 0.876 0.635 0.612  -0.01
Ce6 0.014 0.403 0.137  0.18
Ce7 0.665 0.216 0.929  0.23
Ce8 0.882 0.784 0.429  0.23
Nb4 0.698 0.013 0.171  0.03

Values from the calculation:
Calculated volume: 15.4 A^3/atom
Raw formation energy: -726 kJ/mol of formula units